Computed, not measured: crystalline YCr2Co at its relaxed geometry at the GGA-PBE level of DFT.

abc: 2.944 4.286 5.384
angles: 90.00 105.79 90.00
Space group P2/m (No. 10)
Symmetry-distinct sites (fractional):
Y (0.000, 0.000, 0.000) (multiplicity 1)
Cr (0.301, 0.500, 0.654) (multiplicity 2)
Co (0.500, 0.000, 0.500) (multiplicity 1)

Output
- ρ: 6.4 g cm⁻³
- Spin magnetization: 0.6 Bohr magnetons per cell
- ΔE to the lowest computed polymorph: 201.9 meV per atom
- ΔH_f (0 K): 0.51 eV per atom

***

Computed, not measured: crystalline Cs12Se3I5 at its relaxed geometry at the GGA-PBE level of DFT.

abc: 16.0186 16.0186 5.5054
angles: 90.00 90.00 120.00
Space group P-62m (No. 189)
Symmetry-distinct sites (fractional):
Cs (0.0000, 0.1863, 0.0000) (multiplicity 3)
Cs (0.0000, 0.4649, 0.0000) (multiplicity 3)
Cs (0.1981, 0.7521, 0.5000) (multiplicity 6)
Se (0.0000, 0.3335, 0.5000) (multiplicity 3)
I (0.0000, 0.7069, 0.0000) (multiplicity 3)
I (0.3333, 0.6667, 0.0000) (multiplicity 2)

Output
- ρ: 3.3 g cm⁻³
- Spin magnetization: 0.2 Bohr magnetons per cell
- Raw formation energy: -1230 meV per atom
- ΔE to the lowest computed polymorph: 0.0 meV per atom

***

Computed, not measured: crystalline NaCdP3 at its relaxed geometry at the GGA-PBE level of DFT.

abc: 4.871 4.871 4.871
angles: 90.00 90.00 90.00
Space group Pm-3m (No. 221)
Symmetry-distinct sites (fractional):
Na (0.000, 0.000, 0.000) (multiplicity 1)
Cd (0.500, 0.500, 0.500) (multiplicity 1)
P (0.000, 0.000, 0.500) (multiplicity 3)

Output
- ρ: 3.3 g cm⁻³
- Spin magnetization: 0.0 Bohr magnetons per cell
- ΔE to the lowest computed polymorph: 406.3 meV per atom
- ΔH_f (0 K): 1.29 eV per atom

***

Computed, not measured: crystalline SrAgSO4 at its relaxed geometry at the GGA-PBE level of DFT.

abc: 5.511 8.236 9.876
angles: 90.00 90.00 90.00
Space group Imma (No. 74)
Symmetry-distinct sites (fractional):
Sr (0.000, 0.000, 0.000) (multiplicity 4)
Ag (0.250, 0.250, 0.250) (multiplicity 4)
S (0.000, 0.250, 0.620) (multiplicity 4)
O (0.000, 0.099, 0.699) (multiplicity 8)
O (0.223, 0.250, 0.528) (multiplicity 8)

Output
- ρ: 4.3 g cm⁻³
- Spin magnetization: 0.0 Bohr magnetons per cell
- Raw formation energy: -1554 meV per atom

***

Computed, not measured: crystalline CaSn3Sb at its relaxed geometry at the GGA-PBE level of DFT.

abc: 5.741 5.741 5.741
angles: 90.00 90.00 90.00
Space group Pm-3m (No. 221)
Symmetry-distinct sites (fractional):
Ca (0.000, 0.000, 0.000) (multiplicity 1)
Sn (0.000, 0.500, 0.500) (multiplicity 3)
Sb (0.500, 0.500, 0.500) (multiplicity 1)

Output
- ρ: 4.5 g cm⁻³
- Spin magnetization: 0.0 Bohr magnetons per cell
- Raw formation energy: 337 meV per atom
- ΔE to the lowest computed polymorph: 0.0 meV per atom

***

Computed, not measured: crystalline Ac3Al4In2 at its relaxed geometry at the GGA-PBE level of DFT.

abc: 12.369 4.629 9.305
angles: 90.00 99.94 90.00
Space group C2/m (No. 12)
Symmetry-distinct sites (fractional):
Ac (0.000, 0.000, 0.000) (multiplicity 2)
Ac (0.166, 0.500, 0.669) (multiplicity 4)
Al (0.054, 0.000, 0.394) (multiplicity 4)
Al (0.225, 0.500, 0.050) (multiplicity 4)
In (0.113, 0.500, 0.278) (multiplicity 4)

Output
- ρ: 6.4 g cm⁻³
- Spin magnetization: 0.0 Bohr magnetons per cell
- ΔH_f (0 K): -0.42 eV per atom

***

Computed, not measured: crystalline ScCdFe3 at its relaxed geometry at the GGA-PBE level of DFT.

abc: 4.753 4.753 4.753
angles: 90.00 90.00 90.00
Space group Pm-3m (No. 221)
Symmetry-distinct sites (fractional):
Sc (0.000, 0.000, 0.000) (multiplicity 1)
Cd (0.500, 0.500, 0.500) (multiplicity 1)
Fe (0.000, 0.500, 0.500) (multiplicity 3)

Output
- ρ: 5.0 g cm⁻³
- Spin magnetization: 7.6 Bohr magnetons per cell
- ΔE to the lowest computed polymorph: 46.6 meV per atom
- ΔH_f (0 K): 1.30 eV per atom

***

Computed, not measured: crystalline Sm6Y2Ho3Sc at its relaxed geometry at the GGA-PBE level of DFT.

abc: 6.186 10.710 11.722
angles: 90.00 100.09 90.00
Space group C2/m (No. 12)
Symmetry-distinct sites (fractional):
Sm (0.247, 0.165, 0.249) (multiplicity 8)
Sm (0.248, 0.000, 0.751) (multiplicity 4)
Y (0.000, 0.333, 0.000) (multiplicity 4)
Ho (0.000, 0.167, 0.500) (multiplicity 4)
Ho (0.000, 0.500, 0.500) (multiplicity 2)
Sc (0.000, 0.000, 0.000) (multiplicity 2)

Output
- ρ: 7.0 g cm⁻³
- Spin magnetization: 0.0 Bohr magnetons per cell
- ΔH_f (0 K): 0.02 eV per atom

***

Computed, not measured: crystalline EuBeCu at its relaxed geometry at the GGA-PBE level of DFT.

abc: 4.0723 4.0723 4.0925
angles: 90.00 90.00 120.00
Space group P-6m2 (No. 187)
Symmetry-distinct sites (fractional):
Eu (0.0000, 0.0000, 0.0000) (multiplicity 1)
Be (0.3333, 0.6667, 0.5000) (multiplicity 1)
Cu (0.6667, 0.3333, 0.5000) (multiplicity 1)

Output
- ρ: 6.3 g cm⁻³
- Spin magnetization: 7.1 Bohr magnetons per cell
- ΔH_f (0 K): 0.08 eV per atom

***

Computed, not measured: crystalline CeRuN at its relaxed geometry at the GGA-PBE level of DFT.

abc: 3.462 3.462 7.762
angles: 90.00 90.00 90.00
Space group P4/nmm (No. 129, origin choice 2)
Symmetry-distinct sites (fractional):
Ce (0.250, 0.250, 0.170) (multiplicity 2)
Ru (0.250, 0.250, 0.580) (multiplicity 2)
N (0.250, 0.250, 0.854) (multiplicity 2)

Output
- ρ: 9.1 g cm⁻³
- Spin magnetization: 0.9 Bohr magnetons per cell
- Raw formation energy: -733 meV per atom
- ΔE to the lowest computed polymorph: 0.0 meV per atom

***

Computed, not measured: crystalline POsRu2 at its relaxed geometry at the GGA-PBE level of DFT.

abc: 2.813 2.813 6.726
angles: 90.00 90.00 90.00
Space group P4/mmm (No. 123)
Symmetry-distinct sites (fractional):
P (0.000, 0.000, 0.000) (multiplicity 1)
Os (0.000, 0.000, 0.500) (multiplicity 1)
Ru (0.500, 0.500, 0.213) (multiplicity 2)

Output
- ρ: 13.2 g cm⁻³
- Spin magnetization: 0.0 Bohr magnetons per cell
- ΔH_f (0 K): -0.09 eV per atom

***

Computed, not measured: crystalline CoCu2Br at its relaxed geometry at the GGA-PBE level of DFT.

abc: 3.208 3.208 5.983
angles: 90.00 90.00 90.00
Space group P4/mmm (No. 123)
Symmetry-distinct sites (fractional):
Co (0.000, 0.000, 0.000) (multiplicity 1)
Cu (0.500, 0.500, 0.203) (multiplicity 2)
Br (0.000, 0.000, 0.500) (multiplicity 1)

Output
- ρ: 7.2 g cm⁻³
- Spin magnetization: 1.9 Bohr magnetons per cell
- Raw formation energy: 453 meV per atom
- ΔE to the lowest computed polymorph: 109.1 meV per atom

***

Computed, not measured: crystalline Nd2InP2N6 at its relaxed geometry at the GGA-PBE level of DFT.

abc: 5.6572 5.6572 5.9874
angles: 90.00 90.00 120.00
Space group P-3 (No. 147)
Symmetry-distinct sites (fractional):
Nd (0.3333, 0.6667, 0.3468) (multiplicity 2)
In (0.0000, 0.0000, 0.0000) (multiplicity 1)
P (0.3333, 0.6667, 0.8315) (multiplicity 2)
N (0.0846, 0.3657, 0.7699) (multiplicity 6)

Output
- ρ: 5.5 g cm⁻³
- Spin magnetization: 0.1 Bohr magnetons per cell
- Raw formation energy: -472 meV per atom

***

Computed, not measured: crystalline CsGePbSe3 at its relaxed geometry at the GGA-PBE level of DFT.

abc: 12.040 8.603 10.324
angles: 90.00 125.59 90.00
Space group C2/m (No. 12)
Symmetry-distinct sites (fractional):
Cs (0.198, 0.000, 0.168) (multiplicity 4)
Ge (0.037, 0.500, 0.145) (multiplicity 4)
Pb (0.000, 0.234, 0.500) (multiplicity 4)
Se (0.040, 0.264, 0.820) (multiplicity 8)
Se (0.209, 0.000, 0.612) (multiplicity 4)

Output
- ρ: 5.0 g cm⁻³
- Spin magnetization: 0.0 Bohr magnetons per cell
- Raw formation energy: -548 meV per atom

***

Computed, not measured: crystalline Pm3PbSe2 at its relaxed geometry at the GGA-PBE level of DFT.

abc: 7.494 12.976 7.491
angles: 90.00 109.51 90.00
Space group C2/c (No. 15)
Symmetry-distinct sites (fractional):
Pm (0.236, 0.088, 0.496) (multiplicity 8)
Pm (0.250, 0.250, 0.000) (multiplicity 4)
Pb (0.000, 0.420, 0.750) (multiplicity 4)
Se (0.000, 0.084, 0.750) (multiplicity 4)
Se (0.000, 0.254, 0.250) (multiplicity 4)

Output
- ρ: 7.7 g cm⁻³
- Spin magnetization: 0.0 Bohr magnetons per cell
- Raw formation energy: -1420 meV per atom
- ΔE to the lowest computed polymorph: 0.0 meV per atom

***

Computed, not measured: crystalline Cs2RbNF6 at its relaxed geometry at the GGA-PBE level of DFT.

abc: 9.113 9.113 9.113
angles: 90.00 90.00 90.00
Space group Fm-3m (No. 225)
Symmetry-distinct sites (fractional):
Cs (0.250, 0.250, 0.250) (multiplicity 8)
Rb (0.000, 0.000, 0.000) (multiplicity 4)
N (0.000, 0.000, 0.500) (multiplicity 4)
F (0.000, 0.000, 0.297) (multiplicity 24)

Output
- ρ: 4.2 g cm⁻³
- Spin magnetization: 0.0 Bohr magnetons per cell
- Raw formation energy: -1577 meV per atom

***

Computed, not measured: crystalline KPu4O10 at its relaxed geometry at the GGA-PBE level of DFT.

abc: 3.765 3.765 28.719
angles: 90.00 90.00 90.00
Space group I4/mmm (No. 139)
Symmetry-distinct sites (fractional):
K (0.000, 0.000, 0.000) (multiplicity 2)
Pu (0.000, 0.000, 0.202) (multiplicity 4)
Pu (0.000, 0.000, 0.395) (multiplicity 4)
O (0.000, 0.500, 0.069) (multiplicity 8)
O (0.000, 0.500, 0.158) (multiplicity 8)
O (0.000, 0.500, 0.250) (multiplicity 4)

Output
- ρ: 9.6 g cm⁻³
- Spin magnetization: 26.0 Bohr magnetons per cell
- Raw formation energy: -2698 meV per atom

***

Computed, not measured: crystalline Pa3Ge4Os2 at its relaxed geometry at the GGA-PBE level of DFT.

abc: 10.787 4.329 8.137
angles: 90.00 107.72 90.00
Space group C2/m (No. 12)
Symmetry-distinct sites (fractional):
Pa (0.000, 0.000, 0.000) (multiplicity 2)
Pa (0.181, 0.500, 0.650) (multiplicity 4)
Ge (0.030, 0.000, 0.367) (multiplicity 4)
Ge (0.214, 0.500, 0.049) (multiplicity 4)
Os (0.111, 0.500, 0.287) (multiplicity 4)

Output
- ρ: 12.5 g cm⁻³
- Spin magnetization: 0.0 Bohr magnetons per cell
- ΔE to the lowest computed polymorph: 0.0 meV per atom
- ΔH_f (0 K): -0.47 eV per atom

***

Computed, not measured: crystalline Nd3Cd2Ga4 at its relaxed geometry at the GGA-PBE level of DFT.

abc: 11.123 4.602 8.928
angles: 90.00 109.57 90.00
Space group C2/m (No. 12)
Symmetry-distinct sites (fractional):
Nd (0.000, 0.000, 0.000) (multiplicity 2)
Nd (0.171, 0.500, 0.667) (multiplicity 4)
Cd (0.102, 0.500, 0.271) (multiplicity 4)
Ga (0.071, 0.000, 0.415) (multiplicity 4)
Ga (0.200, 0.500, 0.025) (multiplicity 4)

Output
- ρ: 7.2 g cm⁻³
- Spin magnetization: 0.0 Bohr magnetons per cell
- ΔH_f (0 K): -0.54 eV per atom

***

Computed, not measured: crystalline K2U3CdSe8 at its relaxed geometry at the GGA-PBE level of DFT.

abc: 8.2868 8.2868 24.8689
angles: 90.00 90.00 120.00
Space group R3m (No. 160, hexagonal axes)
Symmetry-distinct sites (fractional):
K (0.0000, 0.0000, 0.0000) (multiplicity 3)
K (0.0000, 0.0000, 0.3508) (multiplicity 3)
U (0.0036, 0.5018, 0.4974) (multiplicity 9)
Cd (0.0000, 0.0000, 0.5095) (multiplicity 3)
Se (0.0000, 0.0000, 0.2245) (multiplicity 3)
Se (0.0000, 0.0000, 0.7678) (multiplicity 3)
Se (0.0073, 0.5036, 0.7688) (multiplicity 9)
Se (0.1730, 0.3461, 0.5629) (multiplicity 9)

Output
- ρ: 5.2 g cm⁻³
- Spin magnetization: 18.0 Bohr magnetons per cell
- Raw formation energy: -1111 meV per atom

***

Computed, not measured: crystalline BaInMo at its relaxed geometry at the GGA-PBE level of DFT.

abc: 3.2651 3.2651 8.3098
angles: 90.00 90.00 120.00
Space group P3m1 (No. 156)
Symmetry-distinct sites (fractional):
Ba (0.0000, 0.0000, 0.0000) (multiplicity 1)
In (0.6667, 0.3333, 0.3849) (multiplicity 1)
Mo (0.3333, 0.6667, 0.6565) (multiplicity 1)

Output
- ρ: 7.5 g cm⁻³
- Spin magnetization: 0.0 Bohr magnetons per cell
- ΔE to the lowest computed polymorph: 269.2 meV per atom
- ΔH_f (0 K): 0.89 eV per atom

***

Computed, not measured: crystalline KAcPbBr6 at its relaxed geometry at the GGA-PBE level of DFT.

abc: 7.330 7.330 14.234
angles: 90.00 90.00 90.00
Space group P4_2nm (No. 102)
Symmetry-distinct sites (fractional):
K (0.000, 0.000, 0.000) (multiplicity 2)
Ac (0.000, 0.000, 0.334) (multiplicity 2)
Pb (0.000, 0.000, 0.668) (multiplicity 2)
Br (0.185, 0.185, 0.501) (multiplicity 4)
Br (0.204, 0.204, 0.179) (multiplicity 4)
Br (0.206, 0.206, 0.824) (multiplicity 4)

Output
- ρ: 4.1 g cm⁻³
- Spin magnetization: 0.0 Bohr magnetons per cell
- Raw formation energy: -1586 meV per atom

***

Computed, not measured: crystalline La3Nd2Tm2 at its relaxed geometry at the GGA-PBE level of DFT.

abc: 17.921 3.552 8.678
angles: 90.00 118.74 90.00
Space group C2/m (No. 12)
Symmetry-distinct sites (fractional):
La (0.000, 0.000, 0.000) (multiplicity 2)
La (0.214, 0.000, 0.291) (multiplicity 4)
Nd (0.065, 0.500, 0.413) (multiplicity 4)
Tm (0.145, 0.000, 0.830) (multiplicity 4)

Output
- ρ: 7.2 g cm⁻³
- Spin magnetization: 0.0 Bohr magnetons per cell
- ΔE to the lowest computed polymorph: 93.3 meV per atom
- ΔH_f (0 K): 0.12 eV per atom